The following is a DFT calculation (PBE-GGA) of a relaxed KCu3F9 crystal.

```
13
Lattice="7.343 0.000 0.000 -3.672 6.359 0.000 0.000 0.000 3.834" Properties=species:S:1:pos:R:3 pbc="T T T"
K 0.000 0.000 0.000
Cu -1.836 3.180 1.917
Cu 3.672 0.000 1.917
Cu 1.836 3.180 1.917
F -1.836 3.180 0.000
F 0.000 2.580 1.917
F -1.438 5.070 1.917
F 2.234 1.290 1.917
F 3.672 0.000 0.000
F 1.836 3.180 0.000
F 1.438 5.070 1.917
F 5.109 1.290 1.917
F 3.672 3.780 1.917
```

density	3.72	g/cm³
space-group type	No. 191
E_form (uncorrected)	-2113	kJ/mol of formula units


The following is a DFT calculation (PBE-GGA) of a relaxed KCuF2 crystal.

```
16
Lattice="6.597 0.000 0.000 0.000 3.558 0.000 0.000 0.000 11.933" Properties=species:S:1:pos:R:3 pbc="T T T"
K 0.110 0.890 1.840
K 3.188 2.669 7.806
K 3.409 0.890 4.127
K 6.487 2.669 10.093
Cu 0.243 2.669 4.948
Cu 3.055 0.890 10.915
Cu 3.542 2.669 1.018
Cu 6.354 0.890 6.985
F 1.166 0.890 8.192
F 1.309 0.890 11.479
F 1.989 2.669 5.512
F 2.133 2.669 2.225
F 4.464 0.890 9.708
F 4.608 0.890 6.421
F 5.288 2.669 0.454
F 5.431 2.669 3.741
```

density	3.34	g/cm³
space-group type	No. 62
E above lowest polymorph	0.0076	eV per atom
E_form (uncorrected)	-746	kJ/mol of formula units


The following is a DFT calculation (PBE-GGA) of a relaxed K4CuF7 crystal.

```
12
Lattice="7.001 -1.971 0.000 7.001 1.971 0.000 -6.247 0.000 8.132" Properties=species:S:1:pos:R:3 pbc="T T T"
K -0.351 0.000 2.182
K -2.148 0.000 6.837
K 9.903 0.000 1.295
K 8.106 0.000 5.949
Cu 3.877 0.000 4.066
F -3.123 0.000 4.066
F 1.761 0.000 0.131
F -0.357 0.000 5.010
F 4.518 0.000 2.377
F 3.236 0.000 5.754
F 8.111 0.000 3.121
F 5.993 0.000 8.000
```

density	2.61	g/cm³
space-group type	No. 12
E_form (uncorrected)	-2549	kJ/mol of formula units


The following is a DFT calculation (PBE-GGA) of a relaxed KCuF6 crystal.

```
8
Lattice="4.652 -2.686 0.000 4.652 2.686 0.000 -3.307 0.000 4.761" Properties=species:S:1:pos:R:3 pbc="T T T"
K 0.000 0.000 0.000
Cu 2.998 0.000 2.381
F 2.448 1.269 1.221
F 1.375 0.000 3.161
F 3.548 1.269 3.540
F 2.448 -1.269 1.221
F 4.621 0.000 1.600
F 3.548 -1.269 3.540
```

density	3.02	g/cm³
space-group type	No. 12
E_form (uncorrected)	-1115	kJ/mol of formula units


The following is a DFT calculation (PBE-GGA) of a relaxed KCu3F7 crystal.

```
11
Lattice="3.827 -3.727 0.000 3.827 3.727 0.000 -1.543 0.000 5.145" Properties=species:S:1:pos:R:3 pbc="T T T"
K 0.000 0.000 0.000
Cu 3.056 1.683 2.573
Cu 3.827 0.000 0.000
Cu 3.056 -1.683 2.573
F -0.772 0.000 2.573
F 1.658 1.495 3.873
F 2.377 0.000 1.320
F 4.454 1.495 1.273
F 1.658 -1.495 3.873
F 3.735 0.000 3.825
F 4.454 -1.495 1.273
```

density	4.10	g/cm³
space-group type	No. 12
E_form (uncorrected)	-1796	kJ/mol of formula units


The following is a DFT calculation (PBE-GGA) of a relaxed K3Cu5F12 crystal.

```
80
Lattice="-6.695 6.695 6.695 6.695 -6.695 6.695 6.695 6.695 -6.695" Properties=species:S:1:pos:R:3 pbc="T T T"
K 3.347 1.674 0.000
K 6.695 3.347 -1.674
K 1.674 0.000 3.347
K 8.368 0.000 3.347
K 0.000 3.347 1.674
K 3.347 -1.674 6.695
K 3.347 8.368 0.000
K 6.695 3.347 5.021
K -1.674 6.695 3.347
K 5.021 6.695 3.347
K 0.000 3.347 8.368
K 3.347 5.021 6.695
Cu 0.000 0.000 0.000
Cu 3.347 3.347 -3.347
Cu 3.347 -3.347 3.347
Cu 6.695 0.000 0.000
Cu 10.042 1.674 0.000
Cu 6.695 -3.347 5.021
Cu 5.021 6.695 -3.347
Cu 5.021 0.000 3.347
Cu 3.347 5.021 0.000
Cu 6.695 3.347 1.674
Cu -3.347 3.347 3.347
Cu 0.000 6.695 0.000
Cu 0.000 0.000 6.695
Cu 3.347 3.347 3.347
Cu 0.000 3.347 5.021
Cu 3.347 1.674 6.695
Cu 1.674 6.695 3.347
Cu 1.674 0.000 10.042
Cu 0.000 10.042 1.674
Cu -3.347 5.021 6.695
F 1.907 -0.453 0.585
F 8.135 3.932 -3.800
F 8.601 0.453 0.585
F 8.135 -2.762 3.800
F 6.242 -0.585 1.907
F 10.495 -1.441 2.762
F 0.585 1.907 -0.453
F 9.457 2.895 -1.441
F 3.932 3.800 -1.441
F 6.110 1.907 0.453
F -0.453 0.585 1.907
F 3.800 -1.441 3.932
F 6.242 6.110 -1.907
F 3.800 1.441 2.762
F 3.932 -3.800 8.135
F 6.110 -1.907 6.242
F 2.762 3.800 1.441
F 7.280 4.788 0.453
F 3.800 8.135 -2.762
F 6.242 0.585 4.788
F 1.907 6.242 -0.585
F 8.135 2.762 2.895
F 1.441 2.762 3.800
F 1.907 0.453 6.110
F 4.788 6.242 0.585
F 5.254 3.932 2.895
F -1.441 3.932 3.800
F 4.788 0.453 7.280
F 0.453 6.110 1.907
F 2.895 -1.441 9.457
F -0.585 1.907 6.242
F 3.932 2.895 5.254
F 0.585 8.601 0.453
F 2.762 10.495 -1.441
F 2.895 5.254 3.932
F 0.453 0.585 8.601
F 2.895 8.135 2.762
F 7.147 6.110 4.788
F 0.585 4.788 6.242
F 2.762 2.895 8.135
F -2.762 3.800 8.135
F 6.110 4.788 7.147
F -3.800 8.135 3.932
F 0.453 7.280 4.788
F -1.441 9.457 2.895
F -1.907 6.242 6.110
F -1.441 2.762 10.495
F 4.788 7.147 6.110
```

density	3.67	g/cm³
space-group type	No. 230
E_form (uncorrected)	-3612	kJ/mol of formula units


Copy entry 5 word for word.
The following is a DFT calculation (PBE-GGA) of a relaxed KCu3F7 crystal.

```
11
Lattice="3.827 -3.727 0.000 3.827 3.727 0.000 -1.543 0.000 5.145" Properties=species:S:1:pos:R:3 pbc="T T T"
K 0.000 0.000 0.000
Cu 3.056 1.683 2.573
Cu 3.827 0.000 0.000
Cu 3.056 -1.683 2.573
F -0.772 0.000 2.573
F 1.658 1.495 3.873
F 2.377 0.000 1.320
F 4.454 1.495 1.273
F 1.658 -1.495 3.873
F 3.735 0.000 3.825
F 4.454 -1.495 1.273
```

density	4.10	g/cm³
space-group type	No. 12
E_form (uncorrected)	-1796	kJ/mol of formula units